Computed, not measured: crystalline BeAgRu2 at its relaxed geometry at the GGA-PBE level of DFT. Values from VASP.

Computed properties:
Symmetry ... P2/m, No. 10
Total magnetic moment ... 0.0 μB per cell
Energy ... -5.912 eV/atom
ΔH_f (0 K) ... 0.3702 eV per atom

Quantum ESPRESSO input file:
```
&SYSTEM
  ibrav = 0, nat = 4, ntyp = 3
/
ATOMIC_SPECIES
Ag 107.87 Ag.upf
Ru 101.07 Ru.upf
Be 9.01 Be.upf
ATOMIC_POSITIONS angstrom
Ag 1.9848 1.0668 1.2642
Ru 0.0000 3.9581 4.8620
Ru 0.0000 2.4428 2.7230
Be 1.9848 3.2005 3.7925
CELL_PARAMETERS angstrom
3.9696 0.0000 0.0000
0.0000 2.7592 0.0006
0.0000 1.5081 5.0561
```